# 1
# CaPrI6 (PBE-GGA, optimized geometry)
data_CaPrI6
_chemical_formula_sum 'Ca1 Pr1 I6'
_cell_length_a 7.808
_cell_length_b 7.821
_cell_length_c 8.126
_cell_angle_alpha 61.85
_cell_angle_beta 61.97
_cell_angle_gamma 60.07
_space_group_name_H-M_alt 'P 1'
_space_group_IT_number 1
_space_group_name_Hall 'P 1'
loop_
_atom_site_label
_atom_site_fract_x
_atom_site_fract_y
_atom_site_fract_z
Ca1 0.000 0.000 0.000
Pr1 0.500 0.500 0.500
I1 0.071 0.750 0.748
I2 0.255 0.569 0.244
I3 0.426 0.074 0.753
I4 0.574 0.926 0.247
I5 0.745 0.431 0.756
I6 0.929 0.250 0.252
# size of the total moment	0.001	μB/atom
# space group	P-1, No. 2
# raw formation energy	-1.17	eV/atom



# 2
# CaPtI3 (PBE-GGA, optimized geometry)
data_CaPtI3
_chemical_formula_sum 'Ca1 Pt1 I3'
_cell_length_a 6.009
_cell_length_b 6.009
_cell_length_c 6.009
_cell_angle_alpha 90.00
_cell_angle_beta 90.00
_cell_angle_gamma 90.00
_space_group_name_H-M_alt 'P 1'
_space_group_IT_number 1
_space_group_name_Hall 'P 1'
loop_
_atom_site_label
_atom_site_fract_x
_atom_site_fract_y
_atom_site_fract_z
Ca1 0.000 0.000 0.000
Pt1 0.500 0.500 0.500
I1 0.000 0.000 0.500
I2 0.000 0.500 0.000
I3 0.500 0.000 0.000
# size of the total moment	0.205	μB/atom
# space group	Pm-3m, No. 221
# relative energy among the computed polymorphs	0.6099	eV per atom
# raw formation energy	0.14	eV/atom



# 3
# Ca4PtI5 (PBE-GGA, optimized geometry)
data_Ca4PtI5
_chemical_formula_sum 'Ca4 Pt1 I5'
_cell_length_a 9.959
_cell_length_b 9.959
_cell_length_c 8.846
_cell_angle_alpha 103.03
_cell_angle_beta 103.03
_cell_angle_gamma 25.80
_space_group_name_H-M_alt 'P 1'
_space_group_IT_number 1
_space_group_name_Hall 'P 1'
loop_
_atom_site_label
_atom_site_fract_x
_atom_site_fract_y
_atom_site_fract_z
Ca1 0.000 0.000 0.224
Ca2 0.000 0.000 0.776
Ca3 0.350 0.350 0.920
Ca4 0.650 0.650 0.080
Pt1 0.500 0.500 0.000
I1 0.166 0.166 0.334
I2 0.171 0.171 0.836
I3 0.500 0.500 0.500
I4 0.829 0.829 0.164
I5 0.834 0.834 0.666
# size of the total moment	0.000	μB/atom
# space group	C2/m, No. 12
# raw formation energy	-1.36	eV/atom



# 4
# CaPtI (PBE-GGA, optimized geometry)
data_CaPtI
_chemical_formula_sum 'Ca2 Pt2 I2'
_cell_length_a 12.612
_cell_length_b 4.182
_cell_length_c 4.182
_cell_angle_alpha 59.90
_cell_angle_beta 90.00
_cell_angle_gamma 90.00
_space_group_name_H-M_alt 'P 1'
_space_group_IT_number 1
_space_group_name_Hall 'P 1'
loop_
_atom_site_label
_atom_site_fract_x
_atom_site_fract_y
_atom_site_fract_z
Ca1 0.139 0.000 0.000
Ca2 0.861 0.000 0.000
Pt1 0.000 0.333 0.333
Pt2 0.500 0.334 0.334
I1 0.298 0.333 0.333
I2 0.702 0.333 0.333
# size of the total moment	0.052	μB/atom
# space group	Amm2, No. 38
# raw formation energy	-0.49	eV/atom



# 5
# CaPt3I (PBE-GGA, optimized geometry)
data_CaPt3I
_chemical_formula_sum 'Ca1 Pt3 I1'
_cell_length_a 5.058
_cell_length_b 5.058
_cell_length_c 5.058
_cell_angle_alpha 90.00
_cell_angle_beta 90.00
_cell_angle_gamma 90.00
_space_group_name_H-M_alt 'P 1'
_space_group_IT_number 1
_space_group_name_Hall 'P 1'
loop_
_atom_site_label
_atom_site_fract_x
_atom_site_fract_y
_atom_site_fract_z
Ca1 0.000 0.000 0.000
Pt1 0.000 0.000 0.500
Pt2 0.000 0.500 0.000
Pt3 0.500 0.000 0.000
I1 0.500 0.500 0.500
# size of the total moment	0.000	μB/atom
# space group	Pm-3m, No. 221
# relative energy among the computed polymorphs	0.8288	eV per atom
# raw formation energy	1.17	eV/atom



# 6
# CaPt3I (PBE-GGA, optimized geometry)
data_CaPt3I
_chemical_formula_sum 'Ca1 Pt3 I1'
_cell_length_a 5.028
_cell_length_b 5.028
_cell_length_c 5.028
_cell_angle_alpha 90.00
_cell_angle_beta 90.00
_cell_angle_gamma 90.00
_space_group_name_H-M_alt 'P 1'
_space_group_IT_number 1
_space_group_name_Hall 'P 1'
loop_
_atom_site_label
_atom_site_fract_x
_atom_site_fract_y
_atom_site_fract_z
Ca1 0.000 0.000 0.000
Pt1 0.000 0.500 0.500
Pt2 0.500 0.000 0.500
Pt3 0.500 0.500 0.000
I1 0.500 0.500 0.500
# size of the total moment	0.000	μB/atom
# space group	Pm-3m, No. 221
# relative energy among the computed polymorphs	0.0000	eV per atom
# raw formation energy	0.34	eV/atom